[1]
The following is a PBE-GGA calculation of LiMnCo3 after structural relaxation, from the Alexandria database.

Cell: 4.203 4.203 4.203 Å, 90.00 90.00 90.00°
Space group Pm-3m (No. 221)
Inequivalent atoms, fractional coordinates:
Li (0.000, 0.000, 0.000) (multiplicity 1)
Mn (0.500, 0.500, 0.500) (multiplicity 1)
Co (0.000, 0.500, 0.500) (multiplicity 3)

Energy of formation, meV per atom: 1004
Final energy, eV per atom: -5.476
Crystal system: cubic
Density, kg/m3: 5340
Energy above the most stable polymorph in this dataset, eV/atom: 0.0000


[2]
The following is a PBE-GGA calculation of Be2In4Si after structural relaxation, from the Alexandria database.

Cell: 5.345 5.345 11.921 Å, 90.00 90.00 90.00°
Space group I4/mmm (No. 139)
Inequivalent atoms, fractional coordinates:
Be (0.000, 0.000, 0.083) (multiplicity 4)
In (0.000, 0.000, 0.282) (multiplicity 4)
In (0.000, 0.500, 0.000) (multiplicity 4)
Si (0.000, 0.000, 0.500) (multiplicity 2)

Final energy, eV per atom: -2.797
Crystal system: tetragonal
Density, kg/m3: 4929


[3]
The following is a PBE-GGA calculation of Zn2PtW after structural relaxation, from the Alexandria database.

Cell: 2.7989 2.7989 27.2948 Å, 90.00 90.00 120.00°
Space group R3m (No. 160, hexagonal axes)
Inequivalent atoms, fractional coordinates:
Zn (0.0000, 0.0000, 0.0000) (multiplicity 3)
Zn (0.0000, 0.0000, 0.2477) (multiplicity 3)
Pt (0.0000, 0.0000, 0.4993) (multiplicity 3)
W (0.0000, 0.0000, 0.7505) (multiplicity 3)

Energy of formation, meV per atom: -10
Final energy, eV per atom: -5.395
Crystal system: trigonal
Density, kg/m3: 13713
Energy above the most stable polymorph in this dataset, eV/atom: 0.1019


[4]
The following is a PBE-GGA calculation of KLaNi2 after structural relaxation, from the Alexandria database.

Cell: 4.017 4.117 15.059 Å, 90.00 90.00 90.00°
Space group Imm2 (No. 44)
Inequivalent atoms, fractional coordinates:
K (0.000, 0.000, 0.000) (multiplicity 2)
La (0.000, 0.500, 0.759) (multiplicity 2)
Ni (0.000, 0.000, 0.380) (multiplicity 2)
Ni (0.000, 0.500, 0.312) (multiplicity 2)

Energy of formation, meV per atom: 161
Final energy, eV per atom: -4.236
Crystal system: orthorhombic
Density, kg/m3: 3939
Energy above the most stable polymorph in this dataset, eV/atom: 0.1538


[5]
The following is a PBE-GGA calculation of LuNiIr after structural relaxation, from the Alexandria database.

Cell: 4.1130 4.1130 3.6284 Å, 90.00 90.00 120.00°
Space group P-6m2 (No. 187)
Inequivalent atoms, fractional coordinates:
Lu (0.0000, 0.0000, 0.0000) (multiplicity 1)
Ni (0.3333, 0.6667, 0.5000) (multiplicity 1)
Ir (0.6667, 0.3333, 0.5000) (multiplicity 1)

Energy of formation, meV per atom: -580
Final energy, eV per atom: -6.968
Crystal system: hexagonal
Density, kg/m3: 13304


[6]
The following is a PBE-GGA calculation of BaY3 after structural relaxation, from the Alexandria database.

Cell: 11.9598 11.9598 3.5816 Å, 90.00 90.00 120.00°
Space group R-3m (No. 166, hexagonal axes)
Inequivalent atoms, fractional coordinates:
Ba (0.0000, 0.0000, 0.0000) (multiplicity 3)
Y (0.0000, 0.5000, 0.0000) (multiplicity 9)

Energy of formation, meV per atom: 290
Final energy, eV per atom: -5.039
Crystal system: trigonal
Density, kg/m3: 4537
Energy above the most stable polymorph in this dataset, eV/atom: 0.1483


[7]
The following is a PBE-GGA calculation of Be2Nb2Co5W after structural relaxation, from the Alexandria database.

Cell: 8.446 8.446 3.319 Å, 90.00 90.00 90.00°
Space group P4/mbm (No. 127)
Inequivalent atoms, fractional coordinates:
Be (0.117, 0.383, 0.000) (multiplicity 4)
Nb (0.176, 0.676, 0.000) (multiplicity 4)
Co (0.000, 0.500, 0.500) (multiplicity 2)
Co (0.068, 0.212, 0.500) (multiplicity 8)
W (0.000, 0.000, 0.000) (multiplicity 2)

Energy of formation, meV per atom: -192
Final energy, eV per atom: -7.800
Crystal system: tetragonal
Density, kg/m3: 9572


[8]
The following is a PBE-GGA calculation of EuGaBi after structural relaxation, from the Alexandria database.

Cell: 3.906 3.906 11.241 Å, 90.00 90.00 90.00°
Space group I4mm (No. 107)
Inequivalent atoms, fractional coordinates:
Eu (0.000, 0.000, 0.000) (multiplicity 2)
Ga (0.000, 0.000, 0.680) (multiplicity 2)
Bi (0.000, 0.000, 0.302) (multiplicity 2)

Energy of formation, meV per atom: -394
Final energy, eV per atom: -6.122
Crystal system: tetragonal
Density, kg/m3: 8342
Energy above the most stable polymorph in this dataset, eV/atom: 0.1274


[9]
The following is a PBE-GGA calculation of AlTcRu2 after structural relaxation, from the Alexandria database.

Cell: 2.893 2.893 6.681 Å, 90.00 90.00 90.00°
Space group P4mm (No. 99)
Inequivalent atoms, fractional coordinates:
Al (0.000, 0.000, 0.000) (multiplicity 1)
Tc (0.500, 0.500, 0.748) (multiplicity 1)
Ru (0.000, 0.000, 0.495) (multiplicity 1)
Ru (0.500, 0.500, 0.227) (multiplicity 1)

Energy of formation, meV per atom: -173
Final energy, eV per atom: -8.338
Crystal system: tetragonal
Density, kg/m3: 9715
Energy above the most stable polymorph in this dataset, eV/atom: 0.1319


[10]
The following is a PBE-GGA calculation of ScMo2Ir after structural relaxation, from the Alexandria database.

Cell: 2.816 2.816 8.429 Å, 90.00 90.00 90.00°
Space group P4mm (No. 99)
Inequivalent atoms, fractional coordinates:
Sc (0.000, 0.000, 0.000) (multiplicity 1)
Mo (0.000, 0.000, 0.454) (multiplicity 1)
Mo (0.500, 0.500, 0.717) (multiplicity 1)
Ir (0.500, 0.500, 0.243) (multiplicity 1)

Energy of formation, meV per atom: -107
Final energy, eV per atom: -9.320
Crystal system: tetragonal
Density, kg/m3: 10658
Energy above the most stable polymorph in this dataset, eV/atom: 0.1552


[11]
The following is a PBE-GGA calculation of Al3VNi after structural relaxation, from the Alexandria database.

Cell: 4.686 4.686 4.686 Å, 90.00 90.00 90.00°
Space group Pm-3m (No. 221)
Inequivalent atoms, fractional coordinates:
Al (0.000, 0.000, 0.500) (multiplicity 3)
V (0.000, 0.000, 0.000) (multiplicity 1)
Ni (0.500, 0.500, 0.500) (multiplicity 1)

Energy of formation, meV per atom: 1043
Final energy, eV per atom: -4.183
Crystal system: cubic
Density, kg/m3: 3076


- Among the records above, which one has the lowest density?
  Al3VNi